[1]
Dy5HoTm2 | PBE | relaxed

## Properties
SG = Pbam, No. 55
E above lowest polymorph = 0.0000 eV per atom
Energy relative to the elements = 0.02 eV/atom
Uncorrected energy = -72.8 eV per cell

Cell: 4.9704 7.0381 14.0762 Å, 90.00 90.00 90.00°
Closest atoms and distances in Å follow each position.
Fractional coordinates of all 16 atoms:
Dy 0.5000 0.7499 0.1249  4 Tm 3.52, 6 Dy 3.52, 2 Ho 3.52
Dy 0.5000 0.7501 0.6249  4 Tm 3.52, 2 Ho 3.52, 6 Dy 3.52
Dy 0.5000 0.2499 0.3751  4 Tm 3.52, 2 Ho 3.52, 6 Dy 3.52
Dy 0.0000 0.0001 0.2502  7 Dy 3.52, 4 Tm 3.52, 1 Ho 3.52
Dy 0.5000 0.2501 0.8751  4 Tm 3.52, 6 Dy 3.52, 2 Ho 3.52
Dy 0.0000 0.5001 0.2499  7 Dy 3.52, 4 Tm 3.52, 1 Ho 3.52
Dy 0.0000 0.4999 0.7501  7 Dy 3.52, 4 Tm 3.52, 1 Ho 3.52
Dy 0.0000 0.9999 0.7498  7 Dy 3.52, 4 Tm 3.52, 1 Ho 3.52
Dy 0.0000 0.0000 0.0000  4 Tm 3.52, 6 Dy 3.52, 2 Ho 3.52
Dy 0.0000 0.5000 0.5000  4 Tm 3.52, 6 Dy 3.52, 2 Ho 3.52
Tm 0.5000 0.2499 0.6248  10 Dy 3.52, 2 Ho 3.52
Tm 0.5000 0.7501 0.3752  10 Dy 3.52, 2 Ho 3.52
Tm 0.5000 0.2501 0.1249  2 Ho 3.52, 10 Dy 3.52
Tm 0.5000 0.7499 0.8751  2 Ho 3.52, 10 Dy 3.52
Ho 0.0000 0.0000 0.5000  4 Tm 3.52, 8 Dy 3.52
Ho 0.0000 0.5000 0.0000  4 Tm 3.52, 8 Dy 3.52

=====

[2]
DyHo5Tm | PBE | relaxed

## Properties
SG = Imm2, No. 44
E above lowest polymorph = 0.9285 eV per atom
Energy relative to the elements = 1.00 eV/atom
Uncorrected energy = -25.0 eV per cell

Cell: 6.0749 7.9551 7.6644 Å, 121.26 113.35 90.00°
Closest atoms and distances in Å follow each position.
Fractional coordinates of all 7 atoms:
Dy 0.9322 0.0000 0.0000  2 Ho 2.97
Ho 0.4330 0.1789 0.0000  2 Ho 2.85-3.01, 1 Tm 3.00
Ho 0.6787 0.7439 0.4877  1 Dy 2.97, 1 Tm 3.23, 1 Ho 3.25
Ho 0.1704 0.5000 0.0000  2 Tm 2.90-3.17, 2 Ho 3.01
Ho 0.1910 0.2561 0.5123  1 Dy 2.97, 1 Tm 3.23, 1 Ho 3.25
Ho 0.4330 0.8211 0.0000  2 Ho 2.85-3.01, 1 Tm 3.00
Tm 0.6923 0.5000 0.0000  6 Ho 2.90-3.23

=====

[3]
Dy4Ho7Tm | PBE | relaxed

## Properties
SG = C2/m, No. 12
E above lowest polymorph = 0.2067 eV per atom
Energy relative to the elements = 0.30 eV/atom
Uncorrected energy = -51.4 eV per cell

Cell: 5.8220 11.4514 6.6429 Å, 83.71 64.01 75.27°
Closest atoms and distances in Å follow each position.
Fractional coordinates of all 12 atoms:
Ho 0.0640 0.6836 0.1883  4 Ho 3.24-3.55, 2 Dy 3.61
Ho 0.7881 0.9243 0.4995  1 Tm 3.10, 4 Ho 3.10-3.36, 4 Dy 3.27-3.34
Ho 0.6327 0.5016 0.2331  4 Ho 3.19-3.55, 5 Dy 3.25-3.52
Ho 0.2119 0.0757 0.5005  1 Tm 3.10, 4 Ho 3.10-3.36, 4 Dy 3.27-3.34
Ho 0.9360 0.3164 0.8117  4 Ho 3.24-3.55, 2 Dy 3.61
Ho 0.5000 0.0000 0.0000  2 Tm 2.91, 2 Ho 3.10
Ho 0.3673 0.4984 0.7669  4 Ho 3.19-3.55, 5 Dy 3.25-3.52
Dy 0.2368 0.3232 0.2032  5 Ho 3.25-3.63, 2 Dy 3.57
Dy 0.3605 0.7757 0.5032  7 Ho 3.32-3.61, 2 Dy 3.57
Dy 0.7632 0.6768 0.7968  5 Ho 3.25-3.63, 2 Dy 3.57
Dy 0.6395 0.2243 0.4968  7 Ho 3.32-3.61, 2 Dy 3.57
Tm 0.0000 0.0000 0.0000  4 Ho 2.91-3.10

=====

[4]
Dy5Ho2Tm | PBE | relaxed

## Properties
SG = Pbam, No. 55
E above lowest polymorph = 0.0000 eV per atom
Energy relative to the elements = 0.02 eV/atom
Uncorrected energy = -73.0 eV per cell

Cell: 4.9762 7.0477 14.0951 Å, 90.00 90.00 90.00°
Closest atoms and distances in Å follow each position.
Fractional coordinates of all 16 atoms:
Dy 0.0000 0.5005 0.2497  1 Tm 3.52, 7 Dy 3.52-3.53, 4 Ho 3.52-3.53
Dy 0.0000 0.4995 0.7503  1 Tm 3.52, 7 Dy 3.52-3.53, 4 Ho 3.52-3.53
Dy 0.5000 0.2502 0.3753  4 Ho 3.52-3.53, 6 Dy 3.52-3.53, 2 Tm 3.52
Dy 0.0000 0.9995 0.7497  1 Tm 3.52, 7 Dy 3.52-3.53, 4 Ho 3.52-3.53
Dy 0.5000 0.7498 0.6247  4 Ho 3.52-3.53, 6 Dy 3.52-3.53, 2 Tm 3.52
Dy 0.5000 0.7502 0.1247  4 Ho 3.52-3.53, 6 Dy 3.52-3.53, 2 Tm 3.52
Dy 0.0000 0.5000 0.5000  6 Dy 3.52-3.53, 4 Ho 3.52, 2 Tm 3.52
Dy 0.0000 0.0005 0.2503  1 Tm 3.52, 7 Dy 3.52-3.53, 4 Ho 3.52-3.53
Dy 0.5000 0.2498 0.8753  4 Ho 3.52-3.53, 6 Dy 3.52-3.53, 2 Tm 3.52
Dy 0.0000 0.0000 0.0000  6 Dy 3.52-3.53, 4 Ho 3.52, 2 Tm 3.52
Ho 0.5000 0.7495 0.8753  10 Dy 3.52-3.53, 2 Tm 3.52
Ho 0.5000 0.7505 0.3753  10 Dy 3.52-3.53, 2 Tm 3.52
Ho 0.5000 0.2495 0.6247  10 Dy 3.52-3.53, 2 Tm 3.52
Ho 0.5000 0.2505 0.1247  10 Dy 3.52-3.53, 2 Tm 3.52
Tm 0.0000 0.5000 0.0000  4 Ho 3.52, 8 Dy 3.52
Tm 0.0000 0.0000 0.5000  4 Ho 3.52, 8 Dy 3.52

=====

[5]
Dy2HoTm3 | PBE | relaxed

## Properties
SG = C2/m, No. 12
E above lowest polymorph = 0.0973 eV per atom
Energy relative to the elements = 0.12 eV/atom
Uncorrected energy = -52.9 eV per cell

Cell: 3.4567 8.9100 12.6983 Å, 78.24 82.18 78.81°
Closest atoms and distances in Å follow each position.
Fractional coordinates of all 12 atoms:
Dy 0.8193 0.4781 0.8832  5 Tm 3.34-3.45, 4 Dy 3.46-3.49, 2 Ho 3.47
Dy 0.6575 0.1536 0.5313  5 Tm 3.36-3.64, 4 Dy 3.40-3.46, 2 Ho 3.41-3.54
Dy 0.1807 0.5219 0.1168  5 Tm 3.34-3.45, 4 Dy 3.46-3.49, 2 Ho 3.47
Dy 0.3425 0.8464 0.4687  5 Tm 3.36-3.64, 4 Dy 3.40-3.46, 2 Ho 3.41-3.54
Tm 0.5989 0.8276 0.9747  6 Tm 3.19-3.52, 3 Dy 3.40-3.45
Tm 0.2609 0.1858 0.2925  4 Dy 3.34-3.43, 5 Tm 3.38-3.58, 2 Ho 3.61
Tm 0.7392 0.8142 0.7075  4 Dy 3.34-3.43, 5 Tm 3.38-3.58, 2 Ho 3.61
Tm 0.0397 0.1322 0.7885  3 Dy 3.45-3.64, 8 Tm 3.46-3.64, 2 Ho 3.67
Tm 0.4011 0.1724 0.0253  6 Tm 3.19-3.52, 3 Dy 3.40-3.45
Tm 0.9603 0.8678 0.2115  3 Dy 3.45-3.64, 8 Tm 3.46-3.64, 2 Ho 3.67
Ho 0.5617 0.5204 0.3562  4 Dy 3.41-3.54, 3 Ho 3.46-3.57, 4 Tm 3.61-3.67
Ho 0.4383 0.4796 0.6438  4 Dy 3.41-3.54, 3 Ho 3.46-3.57, 4 Tm 3.61-3.67

=====

[6]
DyHoTm3 | PBE | relaxed

## Properties
SG = P-1, No. 2
E above lowest polymorph = 0.0000 eV per atom
Energy relative to the elements = 0.00 eV/atom
Uncorrected energy = -45.2 eV per cell

Cell: 9.4617 6.6040 6.1884 Å, 62.10 109.12 84.13°
Closest atoms and distances in Å follow each position.
Fractional coordinates of all 10 atoms:
Tm 0.0504 0.9497 0.4844  6 Tm 3.46-3.58, 4 Dy 3.46-3.58, 2 Ho 3.46-3.58
Tm 0.5493 0.4504 0.3155  6 Tm 3.45-3.58, 4 Ho 3.46-3.57, 2 Dy 3.46-3.57
Tm 0.4506 0.9495 0.6845  6 Tm 3.45-3.58, 4 Ho 3.46-3.57, 2 Dy 3.46-3.57
Tm 0.9496 0.4502 0.5156  6 Tm 3.46-3.58, 4 Dy 3.46-3.58, 2 Ho 3.46-3.58
Tm 0.2503 0.9505 0.0836  3 Dy 3.45-3.58, 6 Tm 3.46-3.58, 3 Ho 3.46-3.57
Tm 0.7497 0.4495 0.9165  3 Dy 3.45-3.58, 6 Tm 3.46-3.58, 3 Ho 3.46-3.57
Dy 0.8500 0.9507 0.8827  9 Tm 3.45-3.58, 1 Dy 3.46, 2 Ho 3.57-3.58
Dy 0.1500 0.4494 0.1173  9 Tm 3.45-3.58, 1 Dy 3.46, 2 Ho 3.57-3.58
Ho 0.3501 0.4504 0.7163  9 Tm 3.46-3.58, 1 Ho 3.46, 2 Dy 3.57-3.58
Ho 0.6499 0.9496 0.2836  9 Tm 3.46-3.58, 1 Ho 3.46, 2 Dy 3.57-3.58

=====

[7]
Dy7Ho4Tm2 | PBE | relaxed

## Properties
SG = P-1, No. 2
Energy relative to the elements = 0.02 eV/atom
Uncorrected energy = -59.2 eV per cell

Cell: 7.8675 14.5028 6.0909 Å, 82.10 97.31 144.43°
Closest atoms and distances in Å follow each position.
Fractional coordinates of all 13 atoms:
Ho 0.0777 0.1542 0.4611  8 Dy 3.51-3.52, 3 Ho 3.52, 1 Tm 3.52
Ho 0.9223 0.8458 0.5389  8 Dy 3.51-3.52, 3 Ho 3.52, 1 Tm 3.52
Ho 0.6161 0.2315 0.6923  7 Dy 3.51-3.53, 3 Tm 3.51-3.52, 2 Ho 3.52
Ho 0.3839 0.7685 0.3077  7 Dy 3.51-3.53, 3 Tm 3.51-3.52, 2 Ho 3.52
Dy 0.8457 0.6921 0.0770  7 Dy 3.51-3.52, 3 Ho 3.51-3.52, 2 Tm 3.52
Dy 0.5384 0.0770 0.2307  6 Dy 3.51-3.52, 5 Ho 3.52-3.53, 1 Tm 3.52
Dy 0.1543 0.3079 0.9230  7 Dy 3.51-3.52, 3 Ho 3.51-3.52, 2 Tm 3.52
Dy 0.2304 0.4618 0.3848  4 Ho 3.51-3.52, 3 Tm 3.51-3.52, 5 Dy 3.52-3.53
Dy 0.4616 0.9230 0.7693  6 Dy 3.51-3.52, 5 Ho 3.52-3.53, 1 Tm 3.52
Dy 0.0000 0.0000 0.0000  6 Ho 3.51-3.52, 4 Dy 3.52, 2 Tm 3.52
Dy 0.7696 0.5382 0.6152  4 Ho 3.51-3.52, 3 Tm 3.51-3.52, 5 Dy 3.52-3.53
Tm 0.3070 0.6151 0.8465  4 Ho 3.51-3.52, 1 Tm 3.51, 7 Dy 3.51-3.52
Tm 0.6930 0.3849 0.1535  4 Ho 3.51-3.52, 1 Tm 3.51, 7 Dy 3.51-3.52

=====

[8]
Dy2HoTm | PBE | relaxed

## Properties
SG = Fm-3m, No. 225
E above lowest polymorph = 0.1392 eV per atom
Energy relative to the elements = 0.14 eV/atom
Uncorrected energy = -17.7 eV per cell

Cell: 5.6147 5.6147 5.6147 Å, 60.00 60.00 60.00°
Closest atoms and distances in Å follow each position.
Fractional coordinates of all 4 atoms:
Dy 0.2500 0.2500 0.2500  4 Ho 3.44, 4 Tm 3.44
Dy 0.7500 0.7500 0.7500  4 Ho 3.44, 4 Tm 3.44
Tm 0.5000 0.5000 0.5000  8 Dy 3.44
Ho 0.0000 0.0000 0.0000  8 Dy 3.44

=====

[9]
Dy7Ho12Tm | PBE | relaxed

## Properties
SG = R-3, No. 148
E above lowest polymorph = 0.0330 eV per atom
Energy relative to the elements = 0.33 eV/atom
Uncorrected energy = -85.0 eV per cell

Cell: 6.6357 10.8621 10.8621 Å, 64.04 78.25 101.75°
Closest atoms and distances in Å follow each position.
Fractional coordinates of all 20 atoms:
Ho 0.7951 0.0629 0.4585  2 Dy 3.15-3.27, 5 Ho 3.20-3.42
Ho 0.2049 0.9371 0.5415  2 Dy 3.15-3.27, 5 Ho 3.20-3.42
Ho 0.2536 0.4585 0.4786  2 Dy 3.15-3.27, 5 Ho 3.20-3.42
Ho 0.7464 0.5415 0.5214  2 Dy 3.15-3.27, 5 Ho 3.20-3.42
Ho 0.4973 0.2122 0.5748  4 Ho 3.20-3.42, 3 Dy 3.40-3.52
Ho 0.0721 0.5748 0.2130  4 Ho 3.20-3.42, 3 Dy 3.40-3.52
Ho 0.7148 0.7870 0.7878  4 Ho 3.20-3.42, 3 Dy 3.40-3.52
Ho 0.5027 0.7878 0.4252  4 Ho 3.20-3.42, 3 Dy 3.40-3.52
Ho 0.7322 0.4786 0.0629  2 Dy 3.15-3.27, 5 Ho 3.20-3.42
Ho 0.2852 0.2130 0.2122  4 Ho 3.20-3.42, 3 Dy 3.40-3.52
Ho 0.2678 0.5214 0.9371  2 Dy 3.15-3.27, 5 Ho 3.20-3.42
Ho 0.9279 0.4252 0.7870  4 Ho 3.20-3.42, 3 Dy 3.40-3.52
Tm 0.0000 0.0000 0.0000  8 Dy 3.16-3.32
Dy 0.7907 0.1645 0.1397  5 Ho 3.15-3.52, 1 Tm 3.16, 1 Dy 3.37
Dy 0.6261 0.6957 0.1645  5 Ho 3.15-3.52, 1 Tm 3.16, 1 Dy 3.37
Dy 0.5000 0.0000 0.0000  2 Tm 3.32, 6 Dy 3.37
Dy 0.3739 0.3043 0.8355  5 Ho 3.15-3.52, 1 Tm 3.16, 1 Dy 3.37
Dy 0.0696 0.8603 0.3043  5 Ho 3.15-3.52, 1 Tm 3.16, 1 Dy 3.37
Dy 0.2093 0.8355 0.8603  5 Ho 3.15-3.52, 1 Tm 3.16, 1 Dy 3.37
Dy 0.9304 0.1397 0.6957  5 Ho 3.15-3.52, 1 Tm 3.16, 1 Dy 3.37